GGA-PBEsol Ag2Hg7P8I6, optimized geometry; space group = No. 12; calculated total energy = -3.080 eV per atom; formation energy without anion corrections = -0.144 eV/atom; density = 7.49 Mg/m³; magnetization = 0.000 μB/cell
1.0
8.353 -0.049 0.042
1.395 8.392 0.039
-1.395 -1.248 8.299
Hg I P Ag
7 6 8 2
Direct
0.134 0.272 0.728
0.000 0.000 0.000
0.234 0.363 0.271
0.766 0.271 0.363
0.866 0.728 0.272
0.234 0.729 0.637
0.766 0.637 0.729
0.851 0.961 0.638
0.464 0.355 0.645
0.149 0.638 0.961
0.149 0.039 0.362
0.851 0.362 0.039
0.536 0.645 0.355
0.422 0.240 0.078
0.258 0.085 0.915
0.934 0.437 0.563
0.742 0.915 0.085
0.066 0.563 0.437
0.578 0.760 0.922
0.578 0.078 0.240
0.422 0.922 0.760
0.500 0.500 0.000
0.500 0.000 0.500